Crystalline Sc3AlTc at its relaxed geometry, computed with GGA-PBE. Values from VASP.

Quantum ESPRESSO input file:
```
&SYSTEM
  ibrav = 0, nat = 5, ntyp = 3
/
ATOMIC_SPECIES
Sc 44.96 Sc.upf
Al 26.98 Al.upf
Tc 98.00 Tc.upf
CELL_PARAMETERS angstrom
5.014 0.000 0.000
0.000 5.014 0.000
0.000 0.000 5.014
ATOMIC_POSITIONS angstrom
Sc 0.000 0.000 2.507
Sc 0.000 2.507 0.000
Sc 2.507 0.000 0.000
Al 0.000 0.000 0.000
Tc 2.507 2.507 2.507
```

Values from the calculation:
Volume   126.0 Å³/cell
Size of the total moment   0.88 μB/cell
Crystal system   cubic
Energy relative to the lowest polymorph listed for this composition   1.258 eV per atom
Formation energy from the elements   0.946 eV/atom